Entry 1:
Dy8Ag2Hg: optimized geometry, PBE-GGA.

a b c (Å): 5.294 8.371 8.409
angles (deg): 118.97 108.35 90.00
Atoms (fractional coordinates):
Dy: 0.932 0.280 0.863
Dy: 0.317 0.042 0.634
Dy: 0.068 0.720 0.137
Dy: 0.683 0.958 0.366
Dy: 0.860 0.807 0.719
Dy: 0.403 0.543 0.805
Dy: 0.597 0.457 0.195
Dy: 0.140 0.193 0.281
Hg: 0.500 0.000 0.000
Ag: 0.223 0.617 0.446
Ag: 0.777 0.383 0.554

For the energy above the most stable polymorph in this dataset, the calculation gives 3 meV/atom. The calculation puts the formation energy at -0.162 eV/atom.

Entry 2:
LiSbMo2: optimized geometry, PBE-GGA.

a b c (Å): 2.961 2.961 9.134
angles (deg): 90.00 90.00 112.59
Atoms (fractional coordinates):
Li: 0.500 0.500 0.763
Mo: 0.000 0.000 0.016
Mo: 0.500 0.500 0.228
Sb: 0.000 0.000 0.493

Its formation energy without anion corrections is 28.1 kJ per mole of atoms.

Entry 3:
CaHgI2: optimized geometry, PBE-GGA.

a b c (Å): 4.393 5.568 5.568
angles (deg): 90.00 90.00 90.00
Atoms (fractional coordinates):
Ca: 0.500 0.000 0.000
I: 0.000 0.500 0.000
I: 0.000 0.000 0.500
Hg: 0.500 0.500 0.500

For the energy above the most stable polymorph in this dataset, the calculation gives 365 meV/atom. Its formation energy without anion corrections is -79.5 kJ per mole of atoms.

| no. | VASP energy (eV per atom) |
| --- | --- |
| 1 | -4.055 |
| 2 | -6.633 |
| 3 | -2.175 |